Density functional theory data (SCAN) for CaCu3Ir4O12 at its PBEsol-relaxed geometry.

The structure belongs to space group Im-3 (No. 204); the cell edges are 7.439, 7.439 and 7.439 Å and the angles 90.00°, 90.00° and 90.00°. The inequivalent atoms are Ca at (0.000, 0.000, 0.000), Cu at (0.000, 0.000, 0.500), Ir at (0.250, 0.250, 0.250) and O at (0.000, 0.306, 0.168).

For the density of states at the Fermi level, the calculation gives 15.8 states/eV per cell. As for the crystal system: cubic. The value obtained for the formation energy from raw total energies is -1.082 eV/atom.